The following is a PBE-GGA calculation of an optimized crystal structure of Cs2RuBr5, from Alexandria.

Cell: 7.9883 7.9882 7.6082 Å, 121.68 121.67 89.98°
Last column: nearest neighbours and their distance in Å.
Fractional positions:
Cs1 0.2574 0.7574 0.5147  10 Br 3.82-4.00
Cs2 0.7574 0.2574 0.5147  10 Br 3.82-4.00
Ru1 0.9840 0.9840 0.9681  5 Br 2.40-2.51
Br1 0.7861 0.2289 0.0150  1 Ru 2.51
Br2 0.2289 0.2289 0.0150  1 Ru 2.51
Br3 0.7862 0.7862 0.0150  1 Ru 2.51
Br4 0.2289 0.7861 0.0150  1 Ru 2.51
Br5 0.7481 0.7481 0.4963  1 Ru 2.40

## Properties
* energy above the lowest structure with this stoichiometry: 20 meV per atom
* formation energy from raw total energies: -0.973 eV/atom
* N(E_F): 10.25 states/eV per cell

***

The following is a PBE-GGA calculation of an optimized crystal structure of K5Sb2, from Alexandria.

Cell: 7.5432 8.9918 10.5794 Å, 115.15 110.89 90.00°
Last column: nearest neighbours and their distance in Å.
Fractional positions:
K1 0.0789 0.2262 0.1578  4 Sb 3.59-3.94, 5 K 3.84-3.96
K2 0.9211 0.7738 0.8422  4 Sb 3.59-3.94, 5 K 3.84-3.96
K3 0.5789 0.9316 0.1578  4 Sb 3.59-3.94, 5 K 3.84-3.96
K4 0.4211 0.0684 0.8422  4 Sb 3.59-3.94, 5 K 3.84-3.96
K5 0.4881 0.7381 0.4762  4 Sb 3.61-3.78, 4 K 3.77-3.96
K6 0.0119 0.2619 0.5238  4 Sb 3.61-3.78, 4 K 3.77-3.96
K7 0.5119 0.2619 0.5238  4 Sb 3.61-3.78, 4 K 3.77-3.96
K8 0.9881 0.7381 0.4762  4 Sb 3.61-3.78, 4 K 3.77-3.96
K9 0.7500 0.5000 0.0000  4 Sb 3.69, 6 K 3.77-3.94
K10 0.2500 0.5000 0.0000  4 Sb 3.69, 6 K 3.77-3.94
Sb1 0.3768 0.6348 0.7537  10 K 3.59-3.94
Sb2 0.6232 0.3652 0.2463  10 K 3.59-3.94
Sb3 0.8768 0.1189 0.7537  10 K 3.59-3.94
Sb4 0.1232 0.8811 0.2463  10 K 3.59-3.94

## Properties
* formation energy from raw total energies: -0.363 eV/atom
* N(E_F): 18.63 states/eV per cell

***

The following is a PBE-GGA calculation of an optimized crystal structure of Tb5Pm2Dy3, from Alexandria.

Cell: 6.8136 12.3161 12.3161 Å, 44.71 73.94 73.94°
Last column: nearest neighbours and their distance in Å.
Fractional positions:
Tb1 0.2500 0.5000 0.5000  6 Tb 3.32-3.41
Tb2 0.7500 0.5000 0.5000  6 Tb 3.32-3.41
Tb3 0.5006 0.7494 0.7494  4 Tb 3.31-3.41, 2 Pm 3.36
Tb4 0.9994 0.2506 0.2506  4 Tb 3.31-3.41, 2 Pm 3.36
Tb5 0.4994 0.2506 0.2506  4 Tb 3.31-3.41, 2 Pm 3.36
Tb6 0.0006 0.7494 0.7494  4 Tb 3.31-3.41, 2 Pm 3.36
Tb7 0.1249 0.4663 0.2840  1 Pm 2.89, 1 Dy 3.20
Tb8 0.8751 0.5337 0.7160  1 Pm 2.89, 1 Dy 3.20
Tb9 0.6249 0.2840 0.4663  1 Pm 2.89, 1 Dy 3.20
Tb10 0.3751 0.7160 0.5337  1 Pm 2.89, 1 Dy 3.20
Pm1 0.1248 0.7750 0.9754  1 Tb 2.89
Pm2 0.8752 0.2250 0.0246  1 Tb 2.89
Pm3 0.6248 0.9754 0.7750  1 Tb 2.89
Pm4 0.3752 0.0246 0.2250  1 Tb 2.89
Dy1 0.2500 0.0000 0.0000  4 Pm 3.34, 2 Dy 3.41
Dy2 0.7500 0.0000 0.0000  4 Pm 3.34, 2 Dy 3.41
Dy3 0.3758 0.3742 0.8742  1 Tb 3.20, 1 Pm 3.28
Dy4 0.6242 0.6258 0.1258  1 Tb 3.20, 1 Pm 3.28
Dy5 0.8758 0.8742 0.3742  1 Tb 3.20, 1 Pm 3.28
Dy6 0.1242 0.1258 0.6258  1 Tb 3.20, 1 Pm 3.28

## Properties
* energy above the lowest structure with this stoichiometry: 203 meV per atom
* N(E_F): 30.26 states/eV per cell